BP3RhC: relaxed, PBE.

Output
Density of states at the Fermi level ... 0.204 states/eV per atom
ΔE_f ... 0.43 eV/f.u.
Space group ... P1 (1)

Cell lengths 3.3678, 4.4579, 5.9955 Å; angles 103.18, 92.24, 101.47 degrees
Positions (direct):
P  0.0078  0.9738  0.8707
P  0.6147  0.3208  0.8829
P  0.5256  0.9758  0.4091
C  0.6434  0.3608  0.5932
B  0.7546  0.6969  0.5673
Rh  0.9516  0.7476  0.1774